# 1
This record from the Alexandria database describes crystalline Mg2NbGe2 at its relaxed geometry. The functional is PBE-GGA.

Values from the calculation:
E_form (kcal/mol of atoms): -1.8
Crystal system: tetragonal
Energy (eV per atom): -4.576

Cell lengths 6.9782, 6.9782, 3.8616 Å; angles 90.00, 90.00, 90.00 degrees
Closest atoms and distances in Å follow each position.
Space group P4/mbm (No. 127)
Asymmetric unit:
1 Mg 0.1689 0.3311 0.0000  6 Ge 2.72-2.89
2 Nb 0.0000 0.0000 0.5000  4 Ge 2.71
3 Ge 0.1375 0.6375 0.5000  2 Nb 2.71, 1 Ge 2.71, 6 Mg 2.72-2.89

# 2
This record from the Alexandria database describes crystalline MgNb2Ge2 at its relaxed geometry. The functional is PBE-GGA.

Values from the calculation:
E_form (kcal/mol of atoms): -2.8
Crystal system: tetragonal
Energy (eV per atom): -6.316

Cell lengths 4.0388, 4.0388, 11.8345 Å; angles 90.00, 90.00, 90.00 degrees
Closest atoms and distances in Å follow each position.
Space group I4/mmm (No. 139)
Asymmetric unit:
1 Mg 0.0000 0.0000 0.0000  8 Ge 3.10
2 Nb 0.0000 0.5000 0.2500  4 Ge 2.68, 4 Nb 2.86
3 Ge 0.0000 0.0000 0.3988  1 Ge 2.39, 4 Nb 2.68

# 3
This record from the Alexandria database describes crystalline MgNb2GePd at its relaxed geometry. The functional is PBE-GGA.

Values from the calculation:
E_form (kcal/mol of atoms): 29.5
Crystal system: tetragonal
Energy (eV per atom): -5.031

Cell lengths 4.8099, 4.8099, 4.4195 Å; angles 90.00, 90.00, 90.00 degrees
Closest atoms and distances in Å follow each position.
Space group P4/mmm (No. 123)
Asymmetric unit:
1 Mg 0.0000 0.0000 0.0000  2 Pd 2.21, 4 Nb 2.40
2 Nb 0.0000 0.5000 0.0000  2 Mg 2.40
3 Ge 0.5000 0.5000 0.5000  8 Nb 3.27, 4 Pd 3.40
4 Pd 0.0000 0.0000 0.5000  2 Mg 2.21

# 4
This record from the Alexandria database describes crystalline MgNbGe2Sb at its relaxed geometry. The functional is PBE-GGA.

Values from the calculation:
Energy relative to the elements, uncorrected (eV/f.u.): 1.6
Crystal system: tetragonal
Energy (eV per atom): -4.684

Cell lengths 5.0525, 5.0525, 5.3711 Å; angles 90.00, 90.00, 90.00 degrees
Closest atoms and distances in Å follow each position.
Space group P4/mmm (No. 123)
Asymmetric unit:
1 Mg 0.0000 0.0000 0.0000  4 Sb 3.57, 8 Ge 3.69
2 Nb 0.5000 0.5000 0.5000  4 Ge 2.53, 2 Sb 2.69
3 Ge 0.0000 0.5000 0.5000  2 Nb 2.53
4 Sb 0.5000 0.5000 0.0000  2 Nb 2.69

# 5
This record from the Alexandria database describes crystalline MgNbGeSb2 at its relaxed geometry. The functional is PBE-GGA.

Values from the calculation:
Energy relative to the elements, uncorrected (eV/f.u.): 3.9
Crystal system: tetragonal
Energy (eV per atom): -4.131

Cell lengths 5.3812, 5.3812, 4.9412 Å; angles 90.00, 90.00, 90.00 degrees
Closest atoms and distances in Å follow each position.
Space group P4/mmm (No. 123)
Asymmetric unit:
1 Mg 0.0000 0.0000 0.0000  8 Sb 3.65, 4 Nb 3.81
2 Nb 0.5000 0.5000 0.0000  2 Ge 2.47
3 Ge 0.5000 0.5000 0.5000  2 Nb 2.47, 4 Sb 2.69
4 Sb 0.0000 0.5000 0.5000  2 Ge 2.69

# 6
This record from the Alexandria database describes crystalline SrMgNb2Ge at its relaxed geometry. The functional is PBE-GGA.

Values from the calculation:
E_form (kcal/mol of atoms): 14.0
Crystal system: tetragonal
Energy (eV per atom): -4.999

Cell lengths 5.0165, 5.0165, 5.0733 Å; angles 90.00, 90.00, 90.00 degrees
Closest atoms and distances in Å follow each position.
Space group P4/mmm (No. 123)
Asymmetric unit:
1 Sr 0.0000 0.0000 0.0000  4 Mg 3.55, 8 Nb 3.57
2 Mg 0.5000 0.5000 0.0000  2 Ge 2.54
3 Nb 0.0000 0.5000 0.5000  2 Ge 2.51
4 Ge 0.5000 0.5000 0.5000  4 Nb 2.51, 2 Mg 2.54

# 7
This record from the Alexandria database describes crystalline Mg2NbTcGe at its relaxed geometry. The functional is PBE-GGA.

Values from the calculation:
E_form (kcal/mol of atoms): 34.8
Crystal system: tetragonal
Energy (eV per atom): -4.142

Cell lengths 5.1599, 5.1599, 4.8973 Å; angles 90.00, 90.00, 90.00 degrees
Closest atoms and distances in Å follow each position.
Space group P4/mmm (No. 123)
Asymmetric unit:
1 Mg 0.0000 0.5000 0.0000  2 Nb 2.58
2 Nb 0.0000 0.0000 0.0000  2 Ge 2.45, 4 Mg 2.58
3 Tc 0.5000 0.5000 0.5000  8 Mg 3.56, 4 Ge 3.65
4 Ge 0.0000 0.0000 0.5000  2 Nb 2.45

# 8
This record from the Alexandria database describes crystalline Mg2NbZnGe at its relaxed geometry. The functional is PBE-GGA.

Values from the calculation:
E_form (kcal/mol of atoms): 20.1
Crystal system: tetragonal
Energy (eV per atom): -2.957

Cell lengths 4.9716, 4.9716, 4.6456 Å; angles 90.00, 90.00, 90.00 degrees
Closest atoms and distances in Å follow each position.
Space group P4/mmm (No. 123)
Asymmetric unit:
1 Mg 0.0000 0.5000 0.0000  2 Ge 2.49
2 Nb 0.0000 0.0000 0.5000  8 Mg 3.40, 4 Zn 3.52
3 Zn 0.5000 0.5000 0.5000  2 Ge 2.32
4 Ge 0.5000 0.5000 0.0000  2 Zn 2.32, 4 Mg 2.49

# 9
This record from the Alexandria database describes crystalline Nd4Mg7Ge6 at its relaxed geometry. The functional is PBE-GGA.

Values from the calculation:
E_form (kcal/mol of atoms): -12.9
Crystal system: monoclinic
Energy (eV per atom): -3.969

Cell lengths 16.6951, 4.4428, 12.5642 Å; angles 90.00, 122.50, 90.00 degrees
Closest atoms and distances in Å follow each position.
Space group C2/m (No. 12)
Asymmetric unit:
1 Nd 0.1290 0.0000 0.3393  6 Ge 3.09-3.37
2 Nd 0.2330 0.0000 0.1136  5 Ge 3.12-3.19, 7 Mg 3.33-3.48
3 Mg 0.0000 0.0000 0.0000  4 Ge 2.91, 4 Mg 3.03
4 Mg 0.0403 0.5000 0.6389  4 Ge 2.70-2.88, 1 Mg 2.99
5 Mg 0.0627 0.5000 0.8964  4 Ge 2.75-2.81, 3 Mg 3.03-3.05
6 Mg 0.1900 0.0000 0.6533  3 Ge 2.62-2.78
7 Ge 0.1100 0.0000 0.8121  5 Mg 2.75-2.94
8 Ge 0.1198 0.5000 0.1517  5 Mg 2.77-2.91
9 Ge 0.1496 0.5000 0.5234  4 Mg 2.62-2.88

# 10
This record from the Alexandria database describes crystalline NdMg2Ge2 at its relaxed geometry. The functional is PBE-GGA.

Values from the calculation:
E_form (kcal/mol of atoms): -11.8
Crystal system: tetragonal
Energy (eV per atom): -3.952
Excess energy over the best structure of this formula in the dataset (eV/f.u.): 0.00

Cell lengths 4.3074, 4.3074, 11.8746 Å; angles 90.00, 90.00, 90.00 degrees
Closest atoms and distances in Å follow each position.
Space group I4/mmm (No. 139)
Asymmetric unit:
1 Nd 0.0000 0.0000 0.0000  8 Ge 3.30, 8 Mg 3.67
2 Mg 0.0000 0.5000 0.2500  4 Ge 2.75, 4 Mg 3.05
3 Ge 0.0000 0.0000 0.3935  1 Ge 2.53, 4 Mg 2.75

# 11
This record from the Alexandria database describes crystalline NdMgGe2 at its relaxed geometry. The functional is PBE-GGA.

Values from the calculation:
E_form (kcal/mol of atoms): -9.7
Crystal system: trigonal
Energy (eV per atom): -4.321
Excess energy over the best structure of this formula in the dataset (eV/f.u.): 0.44

Cell lengths 4.5268, 4.5268, 15.4083 Å; angles 90.00, 90.00, 120.00 degrees
Closest atoms and distances in Å follow each position.
Space group R-3m (No. 166, hexagonal axes)
Asymmetric unit:
1 Nd 0.0000 0.0000 0.0000  6 Ge 3.08
2 Mg 0.0000 0.0000 0.5000  6 Ge 2.78
3 Ge 0.0000 0.0000 0.2279  3 Mg 2.78, 3 Nd 3.08

# 12
This record from the Alexandria database describes crystalline NdMgGe at its relaxed geometry. The functional is PBE-GGA.

Values from the calculation:
E_form (kcal/mol of atoms): -11.1
Crystal system: cubic
Energy (eV per atom): -4.142

Cell lengths 6.8004, 6.8004, 6.8004 Å; angles 90.00, 90.00, 90.00 degrees
Closest atoms and distances in Å follow each position.
Space group F-43m (No. 216)
Asymmetric unit:
1 Nd 0.0000 0.0000 0.0000  4 Ge 2.94
2 Mg 0.0000 0.0000 0.5000  4 Ge 2.94
3 Ge 0.2500 0.2500 0.2500  4 Mg 2.94, 4 Nd 2.94

# 13
This record from the Alexandria database describes crystalline NdMg2Ge2 at its relaxed geometry. The functional is PBE-GGA.

Values from the calculation:
E_form (kcal/mol of atoms): 8.0
Crystal system: tetragonal
Energy (eV per atom): -3.091
Excess energy over the best structure of this formula in the dataset (eV/f.u.): 4.30

Cell lengths 4.0554, 4.0554, 19.3868 Å; angles 90.00, 90.00, 90.00 degrees
Closest atoms and distances in Å follow each position.
Space group I4/mmm (No. 139)
Asymmetric unit:
1 Nd 0.0000 0.0000 0.0000  2 Ge 2.93
2 Mg 0.0000 0.5000 0.2500  4 Ge 2.79, 4 Mg 2.87
3 Ge 0.0000 0.0000 0.1512  4 Mg 2.79, 1 Nd 2.93